(1)
YTl3Si | PBE | optimized geometry

- total magnetization (μB per cell) = 0.00
- raw total energy (eV per atom) = -3.403
- formation energy from raw total energies (eV/atom) = 0.394
- D(E_F) (states/eV per cell) = 2.32
- energy above the most stable polymorph in this dataset (meV/atom) = 0

a b c (Å): 5.310 5.310 5.310
angles (deg): 90.00 90.00 90.00
Fractional coordinates of all 5 atoms:
Tl  0.000  0.500  0.000
Tl  0.000  0.000  0.500
Tl  0.500  0.000  0.000
Si  0.000  0.000  0.000
Y  0.500  0.500  0.500


(2)
YTl4Si2 | PBE | optimized geometry

- total magnetization (μB per cell) = 0.00
- raw total energy (eV per atom) = -3.318
- formation energy from raw total energies (eV/atom) = 0.507
- D(E_F) (states/eV per cell) = 3.43

a b c (Å): 5.927 5.927 8.077
angles (deg): 68.47 68.47 90.00
Fractional coordinates of all 7 atoms:
Tl  0.000  0.500  0.000
Tl  0.223  0.223  0.554
Tl  0.500  0.000  0.000
Tl  0.777  0.777  0.446
Si  0.583  0.583  0.834
Si  0.417  0.417  0.166
Y  0.000  0.000  0.000